A plane-wave DFT calculation with PBE was carried out for a relaxed TlFe2Si crystal.

a b c (Å): 4.293 4.293 5.353
angles (deg): 83.48 83.48 43.70
Site moments in Bohr magnetons follow the coordinates.
Element x y z (fractional)
1 Tl 0.260 0.260 0.231  -0.03
2 Si 0.467 0.467 0.620  -0.06
3 Fe 0.744 0.744 0.740  2.26
4 Fe 0.028 0.028 0.910  2.11

Properties
Final energy, eV/cell: -23.3
Space-group type: Cm, No. 8
Polymorph energy (0 for the lowest one), meV per atom: 170

---

A plane-wave DFT calculation with PBE was carried out for a relaxed TlFe2Si crystal.

a b c (Å): 4.251 4.251 4.251
angles (deg): 60.00 60.00 60.00
Element x y z (fractional)
1 Tl 0.500 0.500 0.500
2 Fe 0.250 0.250 0.250
3 Si 0.000 0.000 0.000
4 Fe 0.750 0.750 0.750

Properties
Final energy, eV/cell: -22.7
Space-group type: Fm-3m, No. 225
Polymorph energy (0 for the lowest one), meV per atom: 318

---

A plane-wave DFT calculation with PBE was carried out for a relaxed TlFe2SiW crystal.

a b c (Å): 4.294 4.642 4.294
angles (deg): 90.00 90.00 90.00
Site moments in Bohr magnetons follow the coordinates.
Element x y z (fractional)
1 Fe 0.000 0.000 0.500  2.22
2 W 0.000 0.500 0.000  -0.08
3 Tl 0.500 0.500 0.500  -0.02
4 Si 0.000 0.000 0.000  -0.06
5 Fe 0.500 0.000 0.000  2.19

Properties
Final energy, eV/cell: -33.6
Space-group type: P4/mmm, No. 123

---

A plane-wave DFT calculation with PBE was carried out for a relaxed Tm2Fe9Si6 crystal.

a b c (Å): 5.031 5.031 11.248
angles (deg): 90.00 90.00 120.00
Site moments in Bohr magnetons follow the coordinates.
Element x y z (fractional)
1 Si 0.333 0.667 0.334  -0.05
2 Tm 0.000 0.000 0.673  -0.34
3 Fe 0.000 0.500 0.167  1.72
4 Si 0.333 0.667 0.000  -0.07
5 Fe 0.500 0.000 0.833  1.72
6 Si 0.667 0.333 0.666  -0.05
7 Fe 0.000 0.500 0.500  1.53
8 Fe 0.500 0.500 0.833  1.72
9 Tm 0.000 0.000 0.327  -0.34
10 Si 0.333 0.667 0.666  -0.05
11 Fe 0.500 0.000 0.500  1.53
12 Fe 0.500 0.500 0.167  1.72
13 Si 0.667 0.333 0.334  -0.05
14 Fe 0.500 0.500 0.500  1.53
15 Si 0.667 0.333 0.000  -0.07
16 Fe 0.000 0.500 0.833  1.72
17 Fe 0.500 0.000 0.167  1.72

Properties
Final energy, eV/cell: -123.1
Space-group type: P6/mmm, No. 191

---

A plane-wave DFT calculation with PBE was carried out for a relaxed Tm2Fe12Si7 crystal.

a b c (Å): 3.725 9.096 9.096
angles (deg): 120.00 90.00 90.00
Site moments in Bohr magnetons follow the coordinates.
Element x y z (fractional)
1 Fe 0.000 0.052 0.540  -0.04
2 Fe 0.500 0.370 0.275  1.54
3 Fe 0.000 0.488 0.948  -0.04
4 Tm 0.500 0.000 0.000  -0.16
5 Si 0.000 0.069 0.795  -0.06
6 Fe 0.500 0.904 0.630  1.54
7 Fe 0.000 0.295 0.070  1.21
8 Fe 0.500 0.221 0.454  1.14
9 Si 0.000 0.205 0.273  -0.06
10 Fe 0.000 0.775 0.705  1.21
11 Fe 0.000 0.460 0.512  -0.04
12 Si 0.000 0.727 0.931  -0.06
13 Fe 0.500 0.725 0.096  1.54
14 Si 0.000 0.333 0.667  -0.03
15 Fe 0.000 0.930 0.225  1.21
16 Fe 0.500 0.546 0.768  1.14
17 Si 0.500 0.450 0.065  -0.04
18 Fe 0.500 0.232 0.779  1.14
19 Si 0.500 0.935 0.385  -0.04
20 Si 0.500 0.615 0.550  -0.04
21 Tm 0.000 0.667 0.333  -0.19

Properties
Final energy, eV/cell: -157.5
Space-group type: P-6, No. 174

---

A plane-wave DFT calculation with PBE was carried out for a relaxed Tm3Fe2Si4 crystal.

a b c (Å): 4.058 5.528 7.763
angles (deg): 106.21 90.00 111.53
Element x y z (fractional)
1 Fe 0.314 0.629 0.639
2 Tm 0.382 0.764 0.307
3 Si 0.719 0.438 0.082
4 Si 0.895 0.790 0.592
5 Si 0.281 0.562 0.918
6 Fe 0.686 0.371 0.361
7 Tm 0.618 0.236 0.693
8 Si 0.105 0.210 0.408
9 Tm 0.000 0.000 0.000

Properties
Final energy, eV/cell: -58.4
Space-group type: C2/m, No. 12

---

A plane-wave DFT calculation with PBE was carried out for a relaxed Tm2Fe3Si5 crystal.

a b c (Å): 5.350 7.932 7.932
angles (deg): 71.55 70.29 70.29
Element x y z (fractional)
1 Tm 0.140 0.590 0.130
2 Fe 0.750 0.000 0.000
3 Si 0.592 0.736 0.081
4 Si 0.092 0.081 0.736
5 Si 0.908 0.919 0.264
6 Fe 0.146 0.264 0.444
7 Si 0.459 0.791 0.791
8 Si 0.959 0.791 0.791
9 Tm 0.360 0.870 0.410
10 Tm 0.640 0.130 0.590
11 Tm 0.860 0.410 0.870
12 Fe 0.250 0.000 0.000
13 Fe 0.854 0.736 0.556
14 Si 0.041 0.209 0.209
15 Fe 0.646 0.444 0.264
16 Fe 0.354 0.556 0.736
17 Si 0.541 0.209 0.209
18 Si 0.408 0.264 0.919
19 Si 0.750 0.500 0.500
20 Si 0.250 0.500 0.500

Properties
Final energy, eV/cell: -136.6
Space-group type: Ibam, No. 72
Polymorph energy (0 for the lowest one), meV per atom: 14

---

A plane-wave DFT calculation with PBE was carried out for a relaxed Tm2Fe3Si4 crystal.

a b c (Å): 6.675 6.256 6.676
angles (deg): 90.00 90.00 109.99
Site moments in Bohr magnetons follow the coordinates.
Element x y z (fractional)
1 Fe 0.260 0.242 0.605  0.08
2 Tm 0.049 0.189 0.180  -0.02
3 Tm 0.549 0.189 0.320  -0.02
4 Tm 0.451 0.811 0.680  -0.02
5 Si 0.626 0.881 0.072  -0.01
6 Fe 0.740 0.758 0.395  0.08
7 Tm 0.951 0.811 0.820  -0.02
8 Si 0.620 0.449 0.665  -0.01
9 Si 0.380 0.551 0.335  -0.01
10 Si 0.374 0.119 0.928  -0.01
11 Fe 0.760 0.242 0.895  0.08
12 Fe 0.240 0.758 0.105  0.08
13 Si 0.126 0.881 0.428  -0.01
14 Si 0.880 0.551 0.165  -0.01
15 Si 0.120 0.449 0.835  -0.01
16 Fe 0.500 0.500 0.000  0.80
17 Si 0.874 0.119 0.572  -0.01
18 Fe 0.000 0.500 0.500  0.80

Properties
Final energy, eV/cell: -121.8
Space-group type: P2_1/c, No. 14
Polymorph energy (0 for the lowest one), meV per atom: 0

---

Looking at E_form (uncorrected) for the records above, in order, we have 141; 198; 397; -523; -875; -616; -662; -470 kJ/mol of formula units.